# 1
Compound: KCoCu3Se4
Source: Alexandria via LeMat-Bulk
Functional: GGA-PBE
Structure: relaxed

It has space group P-43m (No. 215), with a = 6.025 Å, b = 6.025 Å, c = 6.025 Å, α = 90.00°, β = 90.00° and γ = 90.00°. The distinct sites, in fractional coordinates, are K at (0.000, 0.000, 0.000), Co at (0.500, 0.500, 0.500), Cu at (0.000, 0.500, 0.500) and Se at (0.282, 0.282, 0.718).

The total moment comes out at 1.62 Bohr magnetons per cell. The crystal system is cubic. The value obtained for the formation energy without anion corrections is -0.24 eV/atom. For the total energy, the calculation gives -36.6 eV per formula unit.

---

# 2
Compound: K2CoCuSn
Source: Alexandria via LeMat-Bulk
Functional: GGA-PBE
Structure: relaxed

It has space group P4/mmm (No. 123), with a = 6.171 Å, b = 6.171 Å, c = 4.849 Å, α = 90.00°, β = 90.00° and γ = 90.00°. The distinct sites, in fractional coordinates, are K at (0.000, 0.500, 0.000), Co at (0.000, 0.000, 0.500), Cu at (0.500, 0.500, 0.000) and Sn at (0.500, 0.500, 0.500).

The total moment comes out at 2.08 Bohr magnetons per cell. The crystal system is tetragonal. For the total energy, the calculation gives -13.6 eV per formula unit.

---

# 3
Compound: La12Co6Cu
Source: Alexandria via LeMat-Bulk
Functional: GGA-PBE
Structure: relaxed

It has space group Im-3 (No. 204), with a = 10.087 Å, b = 10.087 Å, c = 10.087 Å, α = 90.00°, β = 90.00° and γ = 90.00°. The distinct sites, in fractional coordinates, are La at (0.000, 0.189, 0.311), Co at (0.000, 0.378, 0.500) and Cu at (0.000, 0.000, 0.000).

The total moment comes out at 0.00 Bohr magnetons per cell. The crystal system is cubic. For the total energy, the calculation gives -107.8 eV per formula unit.

---

# 4
Compound: La4CoCu3
Source: Alexandria via LeMat-Bulk
Functional: GGA-PBE
Structure: relaxed

It has space group Pmm2 (No. 25), with a = 3.992 Å, b = 4.549 Å, c = 10.708 Å, α = 90.00°, β = 90.00° and γ = 90.00°. The distinct sites, in fractional coordinates, are La at (0.000, 0.000, 0.000), La at (0.000, 0.500, 0.261), La at (0.500, 0.000, 0.461), La at (0.500, 0.500, 0.760), Co at (0.500, 0.000, 0.199), Cu at (0.000, 0.000, 0.681), Cu at (0.000, 0.500, 0.552) and Cu at (0.500, 0.500, 0.057).

The total moment comes out at 0.00 Bohr magnetons per cell. The crystal system is orthorhombic. For the total energy, the calculation gives -40.3 eV per formula unit.

---

# 5
Compound: La5Co2Cu2
Source: Alexandria via LeMat-Bulk
Functional: GGA-PBE
Structure: relaxed

It has space group Ima2 (No. 46), with a = 17.404 Å, b = 7.445 Å, c = 7.039 Å, α = 90.00°, β = 90.00° and γ = 90.00°. The distinct sites, in fractional coordinates, are La at (0.074, 0.177, 0.000), La at (0.143, 0.708, 0.903), La at (0.250, 0.108, 0.690), Co at (0.069, 0.524, 0.176), Cu at (0.000, 0.000, 0.349) and Cu at (0.250, 0.503, 0.629).

The total moment comes out at 0.00 Bohr magnetons per cell. The crystal system is orthorhombic. For the total energy, the calculation gives -47.8 eV per formula unit.

---

# 6
Compound: La5Co2Cu
Source: Alexandria via LeMat-Bulk
Functional: GGA-PBE
Structure: relaxed

It has space group I4/mcm (No. 140), with a = 7.778 Å, b = 7.778 Å, c = 13.828 Å, α = 90.00°, β = 90.00° and γ = 90.00°. The distinct sites, in fractional coordinates, are La at (0.000, 0.000, 0.000), La at (0.163, 0.337, 0.134), Co at (0.132, 0.368, 0.500) and Cu at (0.000, 0.000, 0.250).

The total moment comes out at 0.00 Bohr magnetons per cell. The crystal system is tetragonal. For the total energy, the calculation gives -43.7 eV per formula unit.